VASP calculation (PBE-GGA) on an optimized crystal structure of PtS2N2.

The structure in POSCAR format:
```
PtS2N2
1.0
3.364 0.000 0.000
0.000 3.364 0.000
0.000 0.000 7.768
Pt S N
1 2 2
Direct
0.000 0.000 0.000
0.500 0.500 0.000
0.500 0.500 0.500
0.000 0.500 0.500
0.500 0.000 0.500
```

Summary:
SG: P4/mmm, No. 123
ΔE_f (raw) in eV/atom: 1.3664
Theoretical density in kg/m³: 5427
ΔE to the lowest computed polymorph in meV/atom: 1574